6
Lattice="-2.917 3.130 3.086 2.917 -3.130 3.086 2.917 3.130 -3.086" Properties=species:S:1:pos:R:3 comment="SmUC, optimized geometry, DFT PBE" e_tot_ry_per_atom=-0.58174 magnetic_moment_mub_per_fu=1.43 crystal_system=orthorhombic pbc="T T T"
Sm 0.000 1.565 1.207
Sm 2.917 1.565 1.879
U 1.458 1.565 -1.543
U 1.458 -1.565 1.543
C 2.917 0.000 0.000
C 0.000 0.000 3.086